# 1
Material: Na3Tb2TlO6
Method: DFT, PBE
State: optimized geometry

Magnetization = 0.00 μB per cell
Space-group type = C2/m (12)
Formation energy from raw total energies = -2.19 eV/atom
Calculated volume = 171.91 Å³/cell

a = 5.9317 Å, b = 5.9317 Å, c = 5.9765 Å
α = 99.53°, β = 99.53°, γ = 119.97°
With the nearest neighbours (Å) after each atom.
Positions (direct):
Na: 0.0000 0.0000 0.0000  6 O 2.50-2.55
Na: 0.3391 0.6609 0.0000  6 O 2.51-2.55
Na: 0.6609 0.3391 0.0000  6 O 2.51-2.55
Tb: 0.1668 0.8332 0.5000  6 O 2.32
Tb: 0.8332 0.1668 0.5000  6 O 2.32
Tl: 0.5000 0.5000 0.5000  6 O 2.36-2.37
O: 0.0876 0.4270 0.2810  2 Tb 2.32, 1 Tl 2.36, 3 Na 2.55
O: 0.2330 0.2330 0.7198  2 Tb 2.32, 1 Tl 2.37, 3 Na 2.50-2.51
O: 0.4270 0.0876 0.2810  2 Tb 2.32, 1 Tl 2.36, 3 Na 2.55
O: 0.5730 0.9124 0.7190  2 Tb 2.32, 1 Tl 2.36, 3 Na 2.55
O: 0.7670 0.7670 0.2802  2 Tb 2.32, 1 Tl 2.37, 3 Na 2.50-2.51
O: 0.9124 0.5730 0.7190  2 Tb 2.32, 1 Tl 2.36, 3 Na 2.55


# 2
Material: Ga6SnPd12
Method: DFT, PBE
State: optimized geometry

Magnetization = 0.00 μB per cell
Formation energy = -0.428 eV/atom
Space-group type = R-3 (148)
Calculated volume = 346.07 Å³/cell

a = 7.1497 Å, b = 7.1497 Å, c = 7.1497 Å
α = 100.11°, β = 100.11°, γ = 100.11°
With the nearest neighbours (Å) after each atom.
Positions (direct):
Ga: 0.0384 0.6536 0.7787  7 Pd 2.48-2.69
Ga: 0.2213 0.9616 0.3464  7 Pd 2.48-2.69
Ga: 0.3464 0.2213 0.9616  7 Pd 2.48-2.69
Ga: 0.6536 0.7787 0.0384  7 Pd 2.48-2.69
Ga: 0.7787 0.0384 0.6536  7 Pd 2.48-2.69
Ga: 0.9616 0.3464 0.2213  7 Pd 2.48-2.69
Sn: 0.5000 0.5000 0.5000  6 Pd 2.64
Pd: 0.0223 0.3220 0.8882  4 Ga 2.48-2.61
Pd: 0.1118 0.9777 0.6780  4 Ga 2.48-2.61
Pd: 0.1739 0.6273 0.4736  3 Ga 2.51-2.69, 1 Sn 2.64
Pd: 0.3220 0.8882 0.0223  4 Ga 2.48-2.61
Pd: 0.3727 0.5264 0.8261  3 Ga 2.51-2.69, 1 Sn 2.64
Pd: 0.4736 0.1739 0.6273  3 Ga 2.51-2.69, 1 Sn 2.64
Pd: 0.5264 0.8261 0.3727  3 Ga 2.51-2.69, 1 Sn 2.64
Pd: 0.6273 0.4736 0.1739  3 Ga 2.51-2.69, 1 Sn 2.64
Pd: 0.6780 0.1118 0.9777  4 Ga 2.48-2.61
Pd: 0.8261 0.3727 0.5264  3 Ga 2.51-2.69, 1 Sn 2.64
Pd: 0.8882 0.0223 0.3220  4 Ga 2.48-2.61
Pd: 0.9777 0.6780 0.1118  4 Ga 2.48-2.61


# 3
Material: KC4O2
Method: DFT, PBE
State: optimized geometry

Magnetization = 5.00 μB per cell
Space-group type = I4/mmm (139)
Formation energy from raw total energies = 1.56 eV/atom
Calculated volume = 216.77 Å³/cell

a = 7.7430 Å, b = 7.7430 Å, c = 7.7430 Å
α = 136.55°, β = 136.55°, γ = 63.13°
With the nearest neighbours (Å) after each atom.
Positions (direct):
K: 0.0000 0.0000 0.0000  6 C 2.87-3.13
C: 0.0000 0.5000 0.5000  2 K 2.87
C: 0.2370 0.2370 0.0000  1 O 1.14
C: 0.5000 0.0000 0.5000  2 K 2.87
C: 0.7630 0.7630 0.0000  1 O 1.14
O: 0.3235 0.3235 0.0000  1 C 1.14
O: 0.6765 0.6765 0.0000  1 C 1.14


# 4
Material: KBa2S2
Method: DFT, PBE
State: optimized geometry

Magnetization = 1.67 μB per cell
Space-group type = P4/mbm (127)
Formation energy from raw total energies = -1.44 eV/atom
Calculated volume = 323.35 Å³/cell

a = 8.6553 Å, b = 8.6553 Å, c = 4.3163 Å
α = 90.00°, β = 90.00°, γ = 90.00°
With the nearest neighbours (Å) after each atom.
Positions (direct):
K: 0.0000 0.0000 0.0000  4 S 3.27
K: 0.5000 0.5000 0.0000  4 S 3.27
Ba: 0.1516 0.3484 0.5000  6 S 3.20-3.42
Ba: 0.3484 0.8484 0.5000  6 S 3.20-3.42
Ba: 0.6516 0.1516 0.5000  6 S 3.20-3.42
Ba: 0.8484 0.6516 0.5000  6 S 3.20-3.42
S: 0.1548 0.6548 0.0000  6 Ba 3.20-3.42, 2 K 3.27
S: 0.3452 0.1548 0.0000  6 Ba 3.20-3.42, 2 K 3.27
S: 0.6548 0.8452 0.0000  6 Ba 3.20-3.42, 2 K 3.27
S: 0.8452 0.3452 0.0000  6 Ba 3.20-3.42, 2 K 3.27


# 5
Material: Ba4Bi3F17
Method: DFT, PBE
State: optimized geometry

Magnetization = 0.00 μB per cell
Space-group type = P1 (1)
Formation energy from raw total energies = -3.21 eV/atom
Calculated volume = 787.38 Å³/cell

a = 9.5464 Å, b = 9.6010 Å, c = 9.6644 Å
α = 72.70°, β = 72.80°, γ = 73.01°
With the nearest neighbours (Å) after each atom.
Positions (direct):
Ba: 0.0000 0.0000 0.0000  7 F 2.68-2.82
Ba: 0.0396 0.6277 0.7886  9 F 2.67-2.97
Ba: 0.1977 0.9506 0.3655  7 F 2.66-2.83
Ba: 0.2498 0.5803 0.1679  7 F 2.66-2.81
Ba: 0.3655 0.2039 0.9386  7 F 2.67-2.83
Ba: 0.4164 0.8429 0.7441  8 F 2.68-2.96
Ba: 0.5710 0.1587 0.3253  8 F 2.67-2.95
Ba: 0.6140 0.7879 0.1033  8 F 2.66-2.88
Bi: 0.1205 0.2747 0.5943  7 F 2.32-2.51
Bi: 0.4635 0.5044 0.5198  8 F 2.33-2.44
Bi: 0.6935 0.4247 0.8948  8 F 2.31-2.48
Bi: 0.7833 0.0706 0.6666  8 F 2.33-2.56
Bi: 0.8415 0.7344 0.4418  8 F 2.34-2.45
Bi: 0.9242 0.3538 0.2169  8 F 2.33-2.46
F: 0.0386 0.0487 0.6684  2 Bi 2.36-2.39, 1 F 2.59
F: 0.0478 0.5427 0.5110  2 Bi 2.38-2.41
F: 0.0489 0.8128 0.2675  1 Bi 2.34
F: 0.0975 0.1525 0.1315  1 Bi 2.33
F: 0.1184 0.2840 0.3450  2 Bi 2.36-2.39
F: 0.1309 0.4373 0.0368  1 Bi 2.37
F: 0.1700 0.7488 0.9184  4 Ba 2.66-2.68, 2 F 2.92-2.96
F: 0.2276 0.1075 0.7937  1 Bi 2.39, 1 Ba 2.67
F: 0.2636 0.4060 0.6986  2 Bi 2.38-2.65
F: 0.2916 0.7154 0.6001  1 Bi 2.37
F: 0.3147 0.8898 0.0506  8 F 2.85-2.92, 6 Ba 2.88-3.09
F: 0.3269 0.0664 0.5086  1 Bi 2.51, 3 Ba 2.68-2.77, 2 F 2.74-2.76
F: 0.3496 0.3854 0.4110  2 Bi 2.39-2.65
F: 0.3874 0.6801 0.3158  1 Bi 2.33
F: 0.4473 0.0343 0.1915  4 Ba 2.66-2.69, 2 F 2.92-2.97
F: 0.4841 0.3477 0.0739  1 Bi 2.37
F: 0.5119 0.4776 0.7597  2 Bi 2.32-2.42
F: 0.5220 0.6290 0.9710  1 Bi 2.31
F: 0.5680 0.2381 0.6028  2 Bi 2.33-2.44
F: 0.5722 0.9776 0.8345  1 Bi 2.40
F: 0.6090 0.6847 0.4591  2 Bi 2.35-2.36
F: 0.6546 0.4342 0.3162  2 Bi 2.37-2.44
F: 0.6640 0.9331 0.5411  1 Bi 2.38
F: 0.7104 0.1774 0.8710  2 Bi 2.33-2.41
F: 0.7612 0.6306 0.7096  2 Bi 2.34-2.45
F: 0.7618 0.9071 0.2318  1 Bi 2.37
F: 0.7975 0.2461 0.1019  2 Bi 2.44-2.46, 1 Ba 2.69, 1 F 2.70
F: 0.8152 0.5365 0.0149  2 Bi 2.46-2.47, 1 F 2.70, 1 Ba 2.71
F: 0.8528 0.8728 0.8822  1 Bi 2.47, 1 F 2.70, 3 Ba 2.72-2.76
F: 0.8642 0.3062 0.5895  2 Bi 2.39-2.44, 1 F 2.59
F: 0.8648 0.1374 0.3942  2 Bi 2.36-2.45
F: 0.9145 0.5881 0.2603  2 Bi 2.38-2.39
F: 0.9536 0.8460 0.5628  2 Bi 2.41-2.56, 1 Ba 2.68, 1 F 2.70
F: 0.9695 0.3377 0.8140  2 Bi 2.32-2.48


# 6
Material: BeNi2Os
Method: DFT, PBE
State: optimized geometry

Magnetization = 0.97 μB per cell
Formation energy = 0.066 eV/atom
Space-group type = I-4m2 (119)
Calculated volume = 44.72 Å³/cell

a = 4.2329 Å, b = 4.2329 Å, c = 4.2329 Å
α = 128.90°, β = 128.90°, γ = 75.17°
With the nearest neighbours (Å) after each atom.
Positions (direct):
Be: 0.0000 0.0000 0.0000  8 Ni 2.48-2.58, 4 Os 2.48
Ni: 0.2500 0.7500 0.5000  4 Be 2.48, 4 Ni 2.48, 4 Os 2.58
Ni: 0.5000 0.5000 0.0000  4 Ni 2.48, 4 Os 2.48, 4 Be 2.58
Os: 0.7500 0.2500 0.5000  4 Be 2.48, 8 Ni 2.48-2.58


# 7
Material: Rb3OsBr8
Method: DFT, PBE
State: optimized geometry

Magnetization = 6.11 μB per cell
Space-group type = P6_3mc (186)
Formation energy from raw total energies = -0.92 eV/atom
Calculated volume = 889.30 Å³/cell

a = 10.3050 Å, b = 10.3050 Å, c = 9.6698 Å
α = 90.00°, β = 90.00°, γ = 120.00°
With the nearest neighbours (Å) after each atom.
Positions (direct):
Rb: 0.1510 0.3020 0.0000  5 Br 3.27-3.65
Rb: 0.1510 0.8490 0.0000  5 Br 3.27-3.65
Rb: 0.3020 0.1510 0.5000  5 Br 3.27-3.65
Rb: 0.6980 0.8490 0.0000  5 Br 3.27-3.65
Rb: 0.8490 0.1510 0.5000  5 Br 3.27-3.65
Rb: 0.8490 0.6980 0.5000  5 Br 3.27-3.65
Os: 0.3333 0.6667 0.4518  6 Br 2.47-2.51
Os: 0.6667 0.3333 0.9518  6 Br 2.47-2.51
Br: 0.0000 0.0000 0.2552  6 Rb 3.59-3.65
Br: 0.0000 0.0000 0.7552  6 Rb 3.59-3.65
Br: 0.1057 0.5529 0.3067  1 Os 2.47
Br: 0.2191 0.4383 0.6040  1 Os 2.51
Br: 0.2191 0.7809 0.6040  1 Os 2.51
Br: 0.3333 0.6667 0.9625  3 Rb 3.27
Br: 0.4383 0.2191 0.1040  1 Os 2.51
Br: 0.4471 0.5529 0.3067  1 Os 2.47
Br: 0.4471 0.8943 0.3067  1 Os 2.47
Br: 0.5529 0.1057 0.8067  1 Os 2.47
Br: 0.5529 0.4471 0.8067  1 Os 2.47
Br: 0.5617 0.7809 0.6040  1 Os 2.51
Br: 0.6667 0.3333 0.4625  3 Rb 3.27
Br: 0.7809 0.2191 0.1040  1 Os 2.51
Br: 0.7809 0.5617 0.1040  1 Os 2.51
Br: 0.8943 0.4471 0.8067  1 Os 2.47


# 8
Material: Li6SmSn4
Method: DFT, PBE
State: optimized geometry

Magnetization = 0.00 μB per cell
Formation energy = -0.343 eV/atom
Space-group type = P-6m2 (187)
Calculated volume = 228.19 Å³/cell

a = 7.6057 Å, b = 7.6057 Å, c = 4.5551 Å
α = 90.00°, β = 90.00°, γ = 120.00°
With the nearest neighbours (Å) after each atom.
Positions (direct):
Li: 0.2033 0.4065 0.0000  5 Sn 2.68-2.88, 2 Li 2.97
Li: 0.2033 0.7967 0.0000  5 Sn 2.68-2.88, 2 Li 2.97
Li: 0.2376 0.1188 0.5000  2 Li 2.71, 4 Sn 2.71-2.76
Li: 0.5935 0.7967 0.0000  5 Sn 2.68-2.88, 2 Li 2.97
Li: 0.8812 0.1188 0.5000  2 Li 2.71, 4 Sn 2.71-2.76
Li: 0.8812 0.7624 0.5000  2 Li 2.71, 4 Sn 2.71-2.76
Sm: 0.6667 0.3333 0.0000  6 Sn 3.45, 12 Li 3.63-3.83
Sn: 0.0000 0.0000 0.0000  9 Li 2.68-2.76
Sn: 0.0595 0.5297 0.5000  6 Li 2.71-2.88
Sn: 0.4703 0.5297 0.5000  6 Li 2.71-2.88
Sn: 0.4703 0.9405 0.5000  6 Li 2.71-2.88


# 9
Material: NaScCdOs2
Method: DFT, PBE
State: optimized geometry

Magnetization = 1.69 μB per cell
Formation energy = 1.824 eV/atom
Space-group type = P4/mmm (123)
Calculated volume = 99.48 Å³/cell

a = 4.6816 Å, b = 4.6816 Å, c = 4.5390 Å
α = 90.00°, β = 90.00°, γ = 90.00°
With the nearest neighbours (Å) after each atom.
Positions (direct):
Na: 0.0000 0.0000 0.0000  2 Cd 2.27, 4 Os 2.34
Sc: 0.5000 0.5000 0.5000  8 Os 3.26, 4 Cd 3.31
Cd: 0.0000 0.0000 0.5000  2 Na 2.27
Os: 0.0000 0.5000 0.0000  2 Na 2.34
Os: 0.5000 0.0000 0.0000  2 Na 2.34


# 10
Material: Sc8MnZn2
Method: DFT, PBE
State: optimized geometry

Magnetization = 0.00 μB per cell
Formation energy = -0.133 eV/atom
Space-group type = C2/m (12)
Calculated volume = 228.44 Å³/cell

a = 8.3011 Å, b = 8.3011 Å, c = 6.2980 Å
α = 108.91°, β = 108.91°, γ = 34.02°
With the nearest neighbours (Å) after each atom.
Positions (direct):
Sc: 0.0232 0.0232 0.2934  1 Zn 2.77, 2 Mn 2.84, 3 Sc 2.94-3.08
Sc: 0.1942 0.1942 0.7885  1 Zn 2.69
Sc: 0.3426 0.3426 0.5429  1 Mn 2.60, 1 Zn 2.71
Sc: 0.4067 0.4067 0.0730  1 Mn 2.59
Sc: 0.5933 0.5933 0.9270  1 Mn 2.59
Sc: 0.6574 0.6574 0.4571  1 Mn 2.60, 1 Zn 2.71
Sc: 0.8058 0.8058 0.2115  1 Zn 2.69
Sc: 0.9768 0.9768 0.7066  1 Zn 2.77, 2 Mn 2.84, 3 Sc 2.94-3.08
Mn: 0.5000 0.5000 0.5000  8 Sc 2.59-2.84
Zn: 0.1821 0.1821 0.2037  5 Sc 2.69-3.00
Zn: 0.8179 0.8179 0.7963  5 Sc 2.69-3.00


# 11
Material: PrThCdCu
Method: DFT, PBE
State: optimized geometry

Magnetization = 0.00 μB per cell
Formation energy = -0.056 eV/atom
Space-group type = F-43m (216)
Calculated volume = 104.81 Å³/cell

a = 5.2923 Å, b = 5.2923 Å, c = 5.2923 Å
α = 60.00°, β = 60.00°, γ = 60.00°
With the nearest neighbours (Å) after each atom.
Positions (direct):
Pr: 0.0000 0.0000 0.0000  4 Cd 3.24, 4 Cu 3.24
Th: 0.5000 0.5000 0.5000  4 Cd 3.24, 4 Cu 3.24
Cd: 0.7500 0.7500 0.7500  4 Th 3.24, 4 Pr 3.24
Cu: 0.2500 0.2500 0.2500  4 Th 3.24, 4 Pr 3.24


# 12
Material: La2ScSe
Method: DFT, PBE
State: optimized geometry

Magnetization = 0.00 μB per cell
Space-group type = P4/mmm (123)
Formation energy from raw total energies = -0.68 eV/atom
Calculated volume = 117.96 Å³/cell

a = 3.7123 Å, b = 3.7123 Å, c = 8.5592 Å
α = 90.00°, β = 90.00°, γ = 90.00°
With the nearest neighbours (Å) after each atom.
Positions (direct):
La: 0.0000 0.0000 0.2153  4 Se 3.21, 4 Sc 3.58
La: 0.0000 0.0000 0.7847  4 Se 3.21, 4 Sc 3.58
Sc: 0.5000 0.5000 0.5000  8 La 3.58, 4 Sc 3.71
Se: 0.5000 0.5000 0.0000  8 La 3.21